Material: BeAsCl2
Method: DFT, GGA-PBE
State: relaxed

Cell: 3.0195 6.5808 7.2744 Å, 42.11 90.00 90.00°
Fractional coordinates of all 4 atoms:
1 Be 0.5000 0.7500 0.7500
2 As 0.5000 0.2500 0.2500
3 Cl 0.0000 0.8225 0.9131
4 Cl 0.0000 0.6775 0.5869

Output
- volume (Å³ per cell) = 97
- polymorph energy (0 for the lowest one) (meV/atom) = 264
- ΔE_f (raw) (meV/atom) = -263


Material: LiP2Au
Method: DFT, GGA-PBE
State: relaxed

Cell: 6.1623 6.1623 6.1623 Å, 36.05 36.05 36.05°
Fractional coordinates of all 4 atoms:
1 Au 0.2500 0.2500 0.2500
2 Li 0.7500 0.7500 0.7500
3 P 0.9862 0.9862 0.9862
4 P 0.5138 0.5138 0.5138

Output
- volume (Å³ per cell) = 72
- polymorph energy (0 for the lowest one) (meV/atom) = 403


Electronic total energy readings, ordered: -13.1; -15.8 eV/cell